{"formula": "SnMoO2F", "functional": "PBE+U", "state": "optimized geometry", "magnetic_moment_mub_per_atom": 0.95, "dft_energy_ev_per_atom": -5.492, "space_group": "P4/mmm", "lattice": [[4.118, 0.000, 0.000], [0.000, 4.118, 0.000], [0.000, 0.000, 4.318]], "species": ["Mo", "Sn", "O", "O", "F"], "frac_coords": [[0.500, 0.500, 0.500], [0.000, 0.000, 0.000], [0.000, 0.500, 0.000], [0.500, 0.000, 0.000], [0.000, 0.000, 0.500]]}